Record 1
Density functional theory data (PBE) for crystalline ScTe3O at its relaxed geometry.

Geometry as POSCAR:
```
ScTe3O
1.0
-4.5865 -2.8499 0.1479
2.7562 -4.4965 -1.1683
0.7394 -0.9165 5.2719
O Te Sc
1 3 1
Cartesian
-0.5454 -4.1314 2.1257
0.3697 -0.4583 2.6360
1.3781 -2.2482 -0.5842
-2.2933 -1.4249 0.0739
0.0000 0.0000 0.0000
```

offset from the most stable computed form = 711 meV/atom
space group = Pm-3m (221)
formation energy (no corrections) = 0.419 eV per atom


Record 2
Density functional theory data (PBE) for crystalline HfZr2Sb at its relaxed geometry.

Geometry as POSCAR:
```
HfZr2Sb
1.0
-2.9921 1.3578 3.3020
2.9239 -0.9807 3.0527
1.5849 4.0334 -0.2224
Hf Zr Sb
1 2 1
Cartesian
-1.4960 0.6789 1.6510
0.7925 2.0167 -0.1112
1.4619 -0.4903 1.5264
0.7584 2.2053 3.0662
```

space group = P4/mmm (123)
formation energy (no corrections) = -0.366 eV per atom


Record 3
Density functional theory data (PBE) for crystalline AsOsBr2 at its relaxed geometry.

Geometry as POSCAR:
```
AsOsBr2
1.0
3.8093 0.0000 0.0000
0.0000 7.2567 0.3844
0.0000 5.5065 4.7497
Os As Br
1 1 2
Cartesian
1.9047 3.1908 1.2835
1.9047 9.5724 3.8506
0.0000 1.5823 0.6382
0.0000 4.7992 1.9288
```

offset from the most stable computed form = 127 meV/atom
space group = P2/m (10)
formation energy (no corrections) = 0.217 eV per atom


Record 4
Density functional theory data (PBE) for crystalline Tb5Nd3Sb8 at its relaxed geometry.

Geometry as POSCAR:
```
Tb5Nd3Sb8
1.0
-6.7487 -3.5759 -4.5697
-5.8668 -5.2724 4.1227
-8.3171 2.8351 1.3971
Sb Nd Tb
8 3 5
Cartesian
-8.5948 -3.3337 -2.0329
-8.1585 -4.1730 2.2675
-15.7319 -4.4643 0.7248
-9.4353 -0.0711 0.9434
-12.3378 -2.6795 2.9830
-11.4973 -5.9421 0.0067
-12.7741 -1.8402 -1.3174
-5.2007 -1.5489 0.2253
-7.5329 -0.3704 -1.5863
-4.1586 1.4175 0.6986
-7.0920 -1.2186 2.7599
-10.4663 -3.0066 0.4750
0.0000 0.0000 0.0000
-6.3077 -4.4242 -0.2235
-3.3743 -1.7880 -2.2849
-2.9334 -2.6362 2.0614
```

space group = R-3m (166)
formation energy (no corrections) = -1.160 eV per atom


Record 5
Density functional theory data (PBE) for crystalline K2CdAgHg6 at its relaxed geometry.

Geometry as POSCAR:
```
K2CdAgHg6
1.0
-5.0922 5.1802 -3.2831
-4.9749 -5.5194 2.9923
-5.2235 0.0010 5.5512
Cd Ag Hg K
1 1 6 2
Cartesian
0.0000 0.0000 0.0000
-5.0335 -0.1696 -0.1454
-4.2592 -0.0575 2.6724
-5.1095 2.4810 -1.6571
-11.0314 -0.2808 2.5880
-7.5143 -0.9732 1.2640
-10.1811 -2.8192 6.9175
-7.7763 0.6350 3.9964
-7.6365 2.4472 0.9196
-7.6541 -2.7854 4.3408
```

space group = P-1 (2)
calculated formation energy = -0.1213 eV per atom


Record 6
Density functional theory data (PBE) for crystalline ErBeSi at its relaxed geometry.

Geometry as POSCAR:
```
ErBeSi
1.0
-1.0240 2.8221 -2.4074
-2.4464 -1.1896 2.7216
4.4854 8.0795 7.5634
Er Be Si
3 3 3
Cartesian
0.0640 5.6058 6.5443
-1.4317 2.9118 4.0222
-2.9271 0.2191 1.5018
2.7959 6.8286 6.8157
-0.2097 5.5960 3.5736
-0.2213 1.3939 1.7282
1.2886 4.1112 4.2713
1.2793 8.2793 6.0858
-1.7000 2.9128 1.0621
```

space group = P-6m2 (187)
formation energy (no corrections) = -0.655 eV per atom


Record 7
Density functional theory data (PBE) for crystalline LiNbTl2Zn at its relaxed geometry.

Geometry as POSCAR:
```
LiNbTl2Zn
1.0
-2.8282 -0.2615 -4.2902
3.6674 -2.5776 -2.2605
-2.0850 -4.4075 1.6431
Li Tl Nb Zn
1 2 1 1
Cartesian
-0.6229 -3.6233 -2.4538
-1.0425 -2.2037 0.8215
-1.4141 -0.1307 -2.1451
1.8337 -1.2888 -1.1303
0.0000 0.0000 0.0000
```

space group = P4/mmm (123)
calculated formation energy = 0.8282 eV per atom


Record 8
Density functional theory data (PBE) for crystalline Al2GaTcS at its relaxed geometry.

Geometry as POSCAR:
```
Al2GaTcS
1.0
4.7699 0.0000 0.0000
0.0000 4.8241 0.0000
0.0000 0.0000 4.7699
Tc Al Ga S
1 2 1 1
Cartesian
2.3850 2.4120 2.3850
0.0000 0.0000 2.3850
2.3850 0.0000 0.0000
0.0000 0.0000 0.0000
0.0000 2.4120 0.0000
```

space group = P4/mmm (123)
formation energy (no corrections) = 1.134 eV per atom


Record 9
Density functional theory data (PBE) for crystalline Mg14MnGa at its relaxed geometry.

Geometry as POSCAR:
```
Mg14MnGa
1.0
-5.2529 2.4986 -2.3839
0.2176 -6.1277 1.3869
-3.2702 1.9861 9.2878
Mg Mn Ga
14 1 1
Cartesian
-5.8340 -1.9486 6.5531
-4.2430 0.1172 1.1835
-1.4735 -4.2413 3.0615
-4.1558 -0.8168 4.1434
-5.8862 1.1152 5.8504
-2.4061 -4.8726 0.1948
-4.2642 2.2371 3.4522
-3.1342 -3.2327 7.7783
-4.1733 -2.9572 1.8364
-1.5853 -1.0920 2.3487
-2.5145 -1.8196 -0.4963
-3.2461 -0.0834 7.0655
0.1027 -3.0645 0.6915
-6.7737 0.4284 2.9553
0.0000 0.0000 0.0000
-1.6351 0.9930 4.6439
```

offset from the most stable computed form = 5 meV/atom
space group = P-6m2 (187)
calculated formation energy = 0.0324 eV per atom


Record 10
Density functional theory data (PBE) for crystalline ScPb3 at its relaxed geometry.

Geometry as POSCAR:
```
ScPb3
1.0
-2.3292 1.9164 -6.0414
3.6024 -5.6815 0.5826
-9.5023 -5.8392 1.8113
Pb Sc
12 4
Cartesian
-4.1145 -4.8022 -1.8238
-1.1646 0.9582 -3.0207
-4.4910 -8.8226 0.8614
-3.7380 -0.7818 -4.5090
-2.5477 -1.7611 -1.4215
-2.9499 -5.7604 1.1969
-5.6814 -7.8432 -2.2261
-6.3321 -5.9190 0.5637
-1.8970 -3.6853 -4.2113
-5.9157 -1.9614 -2.1151
1.8012 -2.8408 0.2913
0.6366 -1.8826 -2.7294
-4.7511 -2.9196 0.9056
-0.7504 -4.6087 -1.1726
0.0000 0.0000 0.0000
-7.4787 -4.9957 -2.4750
```

space group = P6_3/mmc (194)
calculated formation energy = -0.1048 eV per atom


Record 11
Density functional theory data (PBE) for crystalline ErGe4Rh6 at its relaxed geometry.

Geometry as POSCAR:
```
ErGe4Rh6
1.0
-2.0504 -2.8019 1.5883
6.0883 -3.5502 1.5969
-2.7800 4.7112 4.7221
Er Ge Rh
1 4 6
Cartesian
0.0000 0.0000 0.0000
3.3223 -3.3295 3.0045
0.1761 1.9574 3.6803
0.8193 -1.8699 2.3480
2.1794 -1.3927 4.9458
-0.9209 -0.2411 2.9750
1.9509 0.3040 3.0549
-2.0535 1.6784 4.8989
4.3838 -1.1147 3.6930
0.4270 0.2319 5.5495
3.0618 -1.5786 1.1679
```

space group = P-6m2 (187)
calculated formation energy = -0.7446 eV per atom


Record 12
Density functional theory data (PBE) for crystalline YCuRe2 at its relaxed geometry.

Geometry as POSCAR:
```
YCuRe2
1.0
4.6225 0.0000 0.0000
0.0000 3.8462 0.0000
0.0000 0.0000 3.8462
Re Cu Y
2 1 1
Cartesian
0.0000 1.9231 1.9231
0.0000 0.0000 0.0000
2.3113 0.0000 1.9231
2.3113 1.9231 0.0000
```

offset from the most stable computed form = 304 meV/atom
space group = P4/mmm (123)
calculated formation energy = 0.3876 eV per atom


Calculated total magnetization, 0.00 0.00 0.00 0.00 0.00 0.00 1.12 3.87 3.37 0.00 0.00 0.00 μB/cell (same order as the records).